#1
The following is a DFT calculation (PBE) of a relaxed Tb2PrPa crystal.

Geometry as POSCAR:
```
Tb2PrPa
1.0
3.3655 0.0000 0.0000
-1.6827 2.9146 0.0000
0.0000 0.0000 37.2898
Tb Pr Pa
6 3 3
direct
0.0000 0.0000 0.0860
0.0000 0.0000 0.9140
0.3333 0.6667 0.5806
0.3333 0.6667 0.7527
0.6667 0.3333 0.2473
0.6667 0.3333 0.4194
0.0000 0.0000 0.5000
0.3333 0.6667 0.1667
0.6667 0.3333 0.8333
0.0000 0.0000 0.0000
0.3333 0.6667 0.6667
0.6667 0.3333 0.3333
```

=====

#2
The following is a DFT calculation (PBE) of a relaxed Tb2PrPa crystal.

Geometry as POSCAR:
```
Tb2PrPa
1.0
3.4384 0.0000 0.0000
0.0000 3.4384 0.0000
0.0000 0.0000 10.3839
Tb Pr Pa
2 1 1
direct
0.0000 0.0000 0.2268
0.0000 0.0000 0.7732
0.5000 0.5000 0.5000
0.5000 0.5000 0.0000
```

=====

We find #2 to be the most stable, with the next structure 187 meV per atom higher.

=====

#1
The following is a DFT calculation (PBE) of a relaxed PrPaTc crystal.

Geometry as POSCAR:
```
PrPaTc
1.0
3.7010 0.0000 0.0000
0.0000 3.7010 0.0000
0.0000 0.0000 24.2349
Pr Pa Tc
4 4 4
direct
0.0000 0.0000 0.0733
0.0000 0.0000 0.9267
0.5000 0.5000 0.4267
0.5000 0.5000 0.5733
0.0000 0.0000 0.1993
0.0000 0.0000 0.8007
0.5000 0.5000 0.3007
0.5000 0.5000 0.6993
0.0000 0.0000 0.3234
0.0000 0.0000 0.6766
0.5000 0.5000 0.1766
0.5000 0.5000 0.8234
```

=====

#2
The following is a DFT calculation (PBE) of a relaxed PrPaTc crystal.

Geometry as POSCAR:
```
PrPaTc
1.0
4.3394 0.0000 0.0000
-2.1697 3.7580 0.0000
0.0000 0.0000 5.1000
Pr Pa Tc
1 1 1
direct
0.0000 0.0000 0.0000
0.6667 0.3333 0.5000
0.3333 0.6667 0.5000
```

=====

#3
The following is a DFT calculation (PBE) of a relaxed PrPaTc crystal.

Geometry as POSCAR:
```
PrPaTc
1.0
3.5271 0.0000 0.0000
0.0000 3.5271 0.0000
0.0000 0.0000 11.6596
Pr Pa Tc
2 2 2
direct
0.0000 0.0000 0.0000
0.5000 0.5000 0.5000
0.0000 0.0000 0.7018
0.5000 0.5000 0.2018
0.0000 0.0000 0.3023
0.5000 0.5000 0.8023
```

=====

We find #3 to be the most stable, with the next structure 65 meV per atom higher.

=====

#1
The following is a DFT calculation (PBE) of a relaxed PrPaTc2 crystal.

Geometry as POSCAR:
```
PrPaTc2
1.0
6.9816 0.0000 0.0000
0.0000 6.9816 0.0000
0.0000 0.0000 6.9816
Pr Pa Tc
4 4 8
direct
0.0000 0.0000 0.0000
0.0000 0.5000 0.5000
0.5000 0.0000 0.5000
0.5000 0.5000 0.0000
0.0000 0.0000 0.5000
0.0000 0.5000 0.0000
0.5000 0.0000 0.0000
0.5000 0.5000 0.5000
0.2500 0.2500 0.2500
0.2500 0.2500 0.7500
0.2500 0.7500 0.2500
0.2500 0.7500 0.7500
0.7500 0.2500 0.2500
0.7500 0.2500 0.7500
0.7500 0.7500 0.2500
0.7500 0.7500 0.7500
```

=====

#2
The following is a DFT calculation (PBE) of a relaxed PrPaTc2 crystal.

Geometry as POSCAR:
```
PrPaTc2
1.0
3.4326 0.0000 0.0000
0.0000 3.4326 0.0000
0.0000 0.0000 7.3158
Pr Pa Tc
1 1 2
direct
0.0000 0.0000 0.0000
0.0000 0.0000 0.5000
0.5000 0.5000 0.2955
0.5000 0.5000 0.7045
```

=====

#3
The following is a DFT calculation (PBE) of a relaxed PrPaTc2 crystal.

Geometry as POSCAR:
```
PrPaTc2
1.0
3.4242 0.0000 0.0000
-1.7121 2.9655 0.0000
0.0000 0.0000 25.9852
Pr Pa Tc
3 3 6
direct
0.0000 0.0000 0.0000
0.3333 0.6667 0.6667
0.6667 0.3333 0.3333
0.0000 0.0000 0.5000
0.3333 0.6667 0.1667
0.6667 0.3333 0.8333
0.0000 0.0000 0.2369
0.0000 0.0000 0.7631
0.3333 0.6667 0.4298
0.3333 0.6667 0.9036
0.6667 0.3333 0.0964
0.6667 0.3333 0.5702
```

=====

We find #2 to be the most stable, with the next structure 168 meV per atom higher.

=====

#1
The following is a DFT calculation (PBE) of a relaxed PrPaTe2 crystal.

Geometry as POSCAR:
```
PrPaTe2
1.0
4.0452 0.0000 0.0000
-2.0226 3.5032 0.0000
0.0000 0.0000 31.0077
Pr Pa Te
3 3 6
direct
0.0000 0.0000 0.0000
0.3333 0.6667 0.6667
0.6667 0.3333 0.3333
0.0000 0.0000 0.5000
0.3333 0.6667 0.1667
0.6667 0.3333 0.8333
0.0000 0.0000 0.1012
0.0000 0.0000 0.8988
0.3333 0.6667 0.5655
0.3333 0.6667 0.7679
0.6667 0.3333 0.2321
0.6667 0.3333 0.4345
```

=====

#2
The following is a DFT calculation (PBE) of a relaxed PrPaTe2 crystal.

Geometry as POSCAR:
```
PrPaTe2
1.0
7.6203 0.0000 0.0000
0.0000 7.6203 0.0000
0.0000 0.0000 7.6203
Pr Pa Te
4 4 8
direct
0.0000 0.0000 0.0000
0.0000 0.5000 0.5000
0.5000 0.0000 0.5000
0.5000 0.5000 0.0000
0.0000 0.0000 0.5000
0.0000 0.5000 0.0000
0.5000 0.0000 0.0000
0.5000 0.5000 0.5000
0.2500 0.2500 0.2500
0.2500 0.2500 0.7500
0.2500 0.7500 0.2500
0.2500 0.7500 0.7500
0.7500 0.2500 0.2500
0.7500 0.2500 0.7500
0.7500 0.7500 0.2500
0.7500 0.7500 0.7500
```

=====

We find #2 to be the most stable, with the next structure 376 meV per atom higher.